A plane-wave DFT calculation with PBE was carried out for a geometry-optimized TeMoPt2 structure.

POSCAR file:
```
TeMoPt2
1.0
-2.302 -1.223 -4.454
3.249 -1.918 -3.521
-0.965 -1.047 4.960
Te Pt Mo
1 2 1
Direct
0.250 0.750 0.500
0.000 0.000 0.000
0.500 0.500 0.000
0.750 0.250 0.500
```

## Properties
Calculated total energy: -6.27 eV per atom
SG: I4/mmm